Computed, not measured: a crystal of TlW2Au relaxed with PBEsol at the meta-GGA SCAN level of DFT.

Cell: 2.892 4.873 4.873 Å, 90.00 90.00 90.00°
Sites, in units of the cell vectors:
W 0.000 0.500 0.000
W 0.000 0.000 0.500
Au 0.500 0.500 0.500
Tl 0.500 0.000 0.000

Values from the calculation:
* DOS(E_F): 1.77 states/eV/cell
* total magnetic moment: 0.0 μB/f.u.
* crystal system: tetragonal
* formation energy from the elements: 1.0868 eV/atom
* E above lowest polymorph: 101 kJ/mol of formula units
* volume: 68.7 Å³ per cell



Computed, not measured: a crystal of Mn2TcSb relaxed with PBEsol at the meta-GGA SCAN level of DFT.

Cell: 4.284 4.284 4.284 Å, 60.00 60.00 60.00°
Sites, in units of the cell vectors:
Mn 0.750 0.750 0.750
Mn 0.000 0.000 0.000
Sb 0.500 0.500 0.500
Tc 0.250 0.250 0.250

Values from the calculation:
* DOS(E_F): 1.68 states/eV/cell
* total magnetic moment: 2.0 μB/f.u.
* raw formation energy: -0.08 eV per atom
* crystal system: cubic
* volume: 55.6 Å³ per cell



Computed, not measured: a crystal of TlIn2Ir relaxed with PBEsol at the meta-GGA SCAN level of DFT.

Cell: 3.215 5.020 5.020 Å, 90.00 90.00 90.00°
Sites, in units of the cell vectors:
In 0.000 0.000 0.500
In 0.000 0.500 0.000
Ir 0.500 0.500 0.500
Tl 0.500 0.000 0.000

Values from the calculation:
* DOS(E_F): 1.52 states/eV/cell
* total magnetic moment: 0.0 μB/f.u.
* crystal system: tetragonal
* formation energy from the elements: 0.4039 eV/atom
* E above lowest polymorph: 156 kJ/mol of formula units
* volume: 81.0 Å³ per cell



Computed, not measured: a crystal of ScCrN2F relaxed with PBEsol at the meta-GGA SCAN level of DFT.

Cell: 3.678 3.726 3.726 Å, 90.00 90.00 90.00°
Sites, in units of the cell vectors:
N 0.000 0.000 0.500
N 0.000 0.500 0.000
Cr 0.000 0.000 0.000
Sc 0.500 0.500 0.500
F 0.500 0.000 0.000

Values from the calculation:
* DOS(E_F): 1.60 states/eV/cell
* total magnetic moment: 2.0 μB/f.u.
* raw formation energy: -1.23 eV per atom
* crystal system: tetragonal
* volume: 51.1 Å³ per cell



Computed, not measured: a crystal of Tl2HgW relaxed with PBEsol at the meta-GGA SCAN level of DFT.

Cell: 4.185 4.185 5.532 Å, 112.23 112.23 90.00°
Sites, in units of the cell vectors:
Tl 0.750 0.250 0.500
Tl 0.250 0.750 0.500
W 0.500 0.500 0.000
Hg 0.000 0.000 0.000

Values from the calculation:
* DOS(E_F): 0.73 states/eV/cell
* total magnetic moment: 0.0 μB/f.u.
* crystal system: tetragonal
* formation energy from the elements: 1.0665 eV/atom
* E above lowest polymorph: 0 kJ/mol of formula units
* volume: 81.9 Å³ per cell



Computed, not measured: a crystal of BaSr2MgTa relaxed with PBEsol at the meta-GGA SCAN level of DFT.

Cell: 5.671 5.925 5.925 Å, 90.00 90.00 90.00°
Sites, in units of the cell vectors:
Sr 0.000 0.000 0.500
Sr 0.000 0.500 0.000
Mg 0.500 0.000 0.000
Ta 0.000 0.000 0.000
Ba 0.500 0.500 0.500

Values from the calculation:
* DOS(E_F): 2.84 states/eV/cell
* total magnetic moment: 1.0 μB/f.u.
* crystal system: tetragonal
* formation energy from the elements: 0.8327 eV/atom
* volume: 199.1 Å³ per cell



Computed, not measured: a crystal of MnSbRu2 relaxed with PBEsol at the meta-GGA SCAN level of DFT.

Cell: 3.135 3.135 6.010 Å, 90.00 90.00 90.00°
Sites, in units of the cell vectors:
Sb 0.500 0.500 0.000
Mn 0.500 0.500 0.500
Ru 0.000 0.000 0.258
Ru 0.000 0.000 0.742

Values from the calculation:
* DOS(E_F): 3.00 states/eV/cell
* total magnetic moment: 4.2 μB/f.u.
* raw formation energy: -0.10 eV per atom
* crystal system: tetragonal
* volume: 59.0 Å³ per cell



Computed, not measured: a crystal of ErSi2 relaxed with PBEsol at the meta-GGA SCAN level of DFT.

Cell: 3.844 3.844 7.908 Å, 104.07 104.07 90.00°
Sites, in units of the cell vectors:
Si 0.669 0.169 0.339
Si 0.419 0.419 0.839
Si 0.581 0.581 0.161
Si 0.831 0.331 0.661
Er 0.000 0.000 0.000
Er 0.250 0.750 0.500

Values from the calculation:
* DOS(E_F): 2.04 states/eV/cell
* total magnetic moment: 0.0 μB/f.u.
* raw formation energy: -0.48 eV per atom
* crystal system: tetragonal
* volume: 109.7 Å³ per cell



Which of these has the lowest DOS(E_F)? Tl2HgW